[1]
TaRe2Os, optimized geometry, DFT PBE-GGA; density of states at the Fermi level = 4.8 states/eV per cell; E_tot = -11.86 eV per atom; offset from the most stable computed form = 150 meV per atom; energy of formation from the pure elements = 0.133 eV per atom
1.0
0.0000 3.1500 3.1500
3.1500 0.0000 3.1500
3.1500 3.1500 0.0000
Ta Re Os
1 2 1
Direct
0.0000 0.0000 0.0000
0.5000 0.5000 0.5000
0.7500 0.7500 0.7500
0.2500 0.2500 0.2500

---

[2]
TaReOs2, optimized geometry, DFT PBE-GGA; density of states at the Fermi level = 4.0 states/eV per cell; E_tot = -11.49 eV per atom; energy of formation from the pure elements = 0.198 eV per atom
1.0
3.2531 0.0000 0.0000
0.0000 3.2531 0.0000
0.0000 0.0000 5.9720
Ta Re Os
1 1 2
Direct
0.0000 0.0000 0.0000
0.5000 0.5000 0.7154
0.0000 0.0000 0.5184
0.5000 0.5000 0.2305

---

[3]
TaRe2Os, optimized geometry, DFT PBE-GGA; density of states at the Fermi level = 9.9 states/eV per cell; E_tot = -10.29 eV per atom; offset from the most stable computed form = 1719 meV per atom; energy of formation from the pure elements = 1.702 eV per atom
1.0
-2.8892 2.8892 5.7084
2.8892 -2.8892 5.7084
2.8892 2.8892 -5.7084
Ta Re Os
2 4 2
Direct
0.0000 0.0000 0.0000
0.7500 0.2500 0.5000
0.1504 0.6250 0.0254
0.3750 0.4004 0.5254
0.5996 0.1250 0.9746
0.8750 0.8496 0.4746
0.2500 0.7500 0.5000
0.5000 0.5000 0.0000

---

[4]
TaReOs2, optimized geometry, DFT PBE-GGA; density of states at the Fermi level = 6.3 states/eV per cell; E_tot = -11.42 eV per atom; energy of formation from the pure elements = 0.271 eV per atom
1.0
0.0000 3.1458 3.1458
3.1458 0.0000 3.1458
3.1458 3.1458 0.0000
Ta Re Os
1 1 2
Direct
0.0000 0.0000 0.0000
0.2500 0.2500 0.2500
0.5000 0.5000 0.5000
0.7500 0.7500 0.7500

---

[5]
TaRe2Os, optimized geometry, DFT PBE-GGA; density of states at the Fermi level = 3.3 states/eV per cell; E_tot = -11.97 eV per atom; offset from the most stable computed form = 41 meV per atom; energy of formation from the pure elements = 0.024 eV per atom
1.0
2.7653 0.0000 0.0000
0.0000 2.7653 0.0000
0.0000 0.0000 8.2138
Ta Re Os
1 2 1
Direct
0.0000 0.0000 0.0000
0.5000 0.5000 0.2705
0.5000 0.5000 0.7295
0.0000 0.0000 0.5000

---

[6]
TaRe2Os, optimized geometry, DFT PBE-GGA; density of states at the Fermi level = 3.1 states/eV per cell; E_tot = -11.92 eV per atom; offset from the most stable computed form = 88 meV per atom; energy of formation from the pure elements = 0.071 eV per atom
1.0
-1.5905 2.2081 4.4625
1.5905 -2.2081 4.4625
1.5905 2.2081 -4.4625
Ta Re Os
1 2 1
Direct
0.0000 0.0000 0.0000
0.2392 0.7392 0.5000
0.7608 0.2608 0.5000
0.5000 0.5000 0.0000